Here is crystalline Ho2Sc3Pd2 at its relaxed geometry from Alexandria. Energies are from PBE.

abc: 3.5948 6.1677 8.5574
angles: 115.33 90.00 106.94
Fractional coordinates of all 7 atoms:
Ho (0.1495, 0.2991, 0.8066)
Ho (0.8504, 0.7009, 0.1934)
Pd (0.1642, 0.3284, 0.2347)
Pd (0.8358, 0.6716, 0.7653)
Sc (0.6136, 0.2271, 0.4415)
Sc (0.3864, 0.7729, 0.5585)
Sc (0.5000, 0.0000, 0.0000)

* size of the total moment: 0.0 μB per formula unit
* V: 162 Å³/cell
* formation energy: -0.521 eV per atom